1.
First-principles (PBE) data for crystalline Mo3C at its relaxed geometry, as listed in the Alexandria database.

Summary:
energy above the lowest structure with this stoichiometry: 103.36 kJ per mole of atoms
symmetry: R-3m
formation enthalpy at 0 K: 1.105 eV/atom

Lattice parameters (Å, degrees): 4.900 4.900 4.900 116.52 116.52 116.52
Fractional positions:
1 C 0.000 0.000 0.000
2 Mo 0.500 0.500 0.000
3 Mo 0.500 0.000 0.500
4 Mo 0.000 0.500 0.500


2.
First-principles (PBE) data for crystalline MoC3 at its relaxed geometry, as listed in the Alexandria database.

Summary:
energy above the lowest structure with this stoichiometry: 88.29 kJ per mole of atoms
symmetry: P-6m2
formation enthalpy at 0 K: 1.646 eV/atom

Lattice parameters (Å, degrees): 3.200 3.200 4.162 90.00 90.00 120.00
Fractional positions:
1 C 0.667 0.333 0.250
2 C 0.000 0.000 0.071
3 Mo 0.667 0.333 0.750
4 C 0.000 0.000 0.429


> Which value of energy above the lowest structure with this stoichiometry does entry 1 give?

103.36 kJ per mole of atoms